[1]
Computed, not measured: a relaxed structure of K2Cd5Au12 at the GGA-PBE level of DFT.

Results
Crystal system: trigonal
Formation enthalpy at 0 K in meV per atom: -172
M_tot in μB/f.u.: 0.00

a = 7.4639 Å, b = 7.4639 Å, c = 7.4639 Å
α = 84.87°, β = 84.87°, γ = 84.87°
Last column: nearest neighbours and their distance in Å.
Atoms (fractional coordinates):
K1 0.1419 0.1419 0.1419  15 Au 3.45-3.85, 1 Cd 3.59
K2 0.8581 0.8581 0.8581  15 Au 3.45-3.85, 1 Cd 3.59
Cd1 0.0000 0.5000 0.5000  8 Au 2.84-2.88, 2 Cd 3.05
Cd2 0.3979 0.3979 0.3979  4 Cd 2.87-3.05, 3 Au 3.02
Cd3 0.5000 0.0000 0.5000  8 Au 2.84-2.88, 2 Cd 3.05
Cd4 0.5000 0.5000 0.0000  8 Au 2.84-2.88, 2 Cd 3.05
Cd5 0.6021 0.6021 0.6021  4 Cd 2.87-3.05, 3 Au 3.02
Au1 0.1631 0.1631 0.6530  3 Cd 2.88-3.02, 6 Au 2.89-2.97
Au2 0.1631 0.6530 0.1631  3 Cd 2.88-3.02, 6 Au 2.89-2.97
Au3 0.1807 0.5000 0.8193  2 Cd 2.84, 4 Au 2.89-2.92
Au4 0.1807 0.8193 0.5000  2 Cd 2.84, 4 Au 2.89-2.92
Au5 0.3470 0.8369 0.8369  3 Cd 2.88-3.02, 6 Au 2.89-2.97
Au6 0.5000 0.1807 0.8193  2 Cd 2.84, 4 Au 2.89-2.92
Au7 0.5000 0.8193 0.1807  2 Cd 2.84, 4 Au 2.89-2.92
Au8 0.6530 0.1631 0.1631  3 Cd 2.88-3.02, 6 Au 2.89-2.97
Au9 0.8193 0.1807 0.5000  2 Cd 2.84, 4 Au 2.89-2.92
Au10 0.8193 0.5000 0.1807  2 Cd 2.84, 4 Au 2.89-2.92
Au11 0.8369 0.3470 0.8369  3 Cd 2.88-3.02, 6 Au 2.89-2.97
Au12 0.8369 0.8369 0.3470  3 Cd 2.88-3.02, 6 Au 2.89-2.97

=====

[2]
Computed, not measured: a relaxed structure of KCdAu3 at the GGA-PBE level of DFT.

Results
Crystal system: cubic
Energy relative to the lowest polymorph listed for this composition in eV/atom: 0.262
Formation enthalpy at 0 K in meV per atom: 43
M_tot in μB/f.u.: 0.00

a = 5.3332 Å, b = 5.3332 Å, c = 5.3332 Å
α = 90.00°, β = 90.00°, γ = 90.00°
Last column: nearest neighbours and their distance in Å.
Atoms (fractional coordinates):
K1 0.0000 0.0000 0.0000  12 Au 3.77
Cd1 0.5000 0.5000 0.5000  6 Au 2.67
Au1 0.0000 0.5000 0.5000  2 Cd 2.67
Au2 0.5000 0.0000 0.5000  2 Cd 2.67
Au3 0.5000 0.5000 0.0000  2 Cd 2.67

=====

[3]
Computed, not measured: a relaxed structure of K4Cd3Au2 at the GGA-PBE level of DFT.

Results
Crystal system: monoclinic
Formation enthalpy at 0 K in meV per atom: -193
M_tot in μB/f.u.: 0.00

a = 9.2384 Å, b = 9.2384 Å, c = 7.9483 Å
α = 105.68°, β = 105.68°, γ = 29.40°
Last column: nearest neighbours and their distance in Å.
Atoms (fractional coordinates):
K1 0.0748 0.0748 0.3665  2 Au 3.37-3.49, 4 Cd 3.69-3.70
K2 0.2704 0.2704 0.8126  3 Au 3.50-3.53, 3 Cd 3.68-3.76
K3 0.7296 0.7296 0.1874  3 Au 3.50-3.53, 3 Cd 3.68-3.76
K4 0.9252 0.9252 0.6335  2 Au 3.37-3.49, 4 Cd 3.69-3.70
Cd1 0.4003 0.4003 0.2621  2 Au 2.87, 1 Cd 3.10
Cd2 0.5000 0.5000 0.0000  4 Au 3.03, 2 Cd 3.10
Cd3 0.5997 0.5997 0.7379  2 Au 2.87, 1 Cd 3.10
Au1 0.0975 0.0975 0.9439  4 Cd 2.87-3.03
Au2 0.9025 0.9025 0.0561  4 Cd 2.87-3.03

=====

[4]
Computed, not measured: a relaxed structure of KCdAu3 at the GGA-PBE level of DFT.

Results
Crystal system: cubic
Energy relative to the lowest polymorph listed for this composition in eV/atom: 1.238
Formation enthalpy at 0 K in meV per atom: 1020
M_tot in μB/f.u.: 0.00

a = 5.6510 Å, b = 5.6510 Å, c = 5.6510 Å
α = 90.00°, β = 90.00°, γ = 90.00°
Last column: nearest neighbours and their distance in Å.
Atoms (fractional coordinates):
K1 0.0000 0.0000 0.0000  6 Au 2.83
Cd1 0.5000 0.5000 0.5000  12 Au 4.00
Au1 0.0000 0.0000 0.5000  2 K 2.83
Au2 0.0000 0.5000 0.0000  2 K 2.83
Au3 0.5000 0.0000 0.0000  2 K 2.83